The following is a SCAN calculation of a crystal of CuSn3Se relaxed with PBEsol, from Alexandria via LeMat-Bulk.

Cell: 5.424 5.424 5.424 Å, 90.00 90.00 90.00°
Fractional coordinates of all 5 atoms:
Cu  0.500  0.500  0.500
Sn  0.000  0.500  0.000
Sn  0.000  0.000  0.500
Sn  0.500  0.000  0.000
Se  0.000  0.000  0.000

Summary:
VASP energy in eV/atom: -27.667
Energy relative to the elements, uncorrected in eV/atom: 0.942
D(E_F) in states/eV/atom: 0.557
Size of the total moment in Bohr magnetons per cell: 0.00
Symmetry: Pm-3m